[1]
First-principles (GGA-PBE) data for a geometry-optimized Y2NpNbN4 structure, as listed in Alexandria.

The structure belongs to space group P2/m (No. 10); the cell edges are 5.777, 3.359 and 5.856 Å and the angles 90.00°, 108.82° and 90.00°. The inequivalent atoms are Y at (0.000, 0.000, 0.000), Y at (0.500, 0.500, 0.000), Np at (0.000, 0.500, 0.500), Nb at (0.500, 0.000, 0.500), N at (0.249, 0.000, 0.734) and N at (0.259, 0.500, 0.273).

Its uncorrected energy is -0.369 hartree per atom. As for the crystal system: monoclinic. As for the mass density: 8.705 g/cm3. Its size of the total moment is 0.315 μB per atom. The uncorrected formation energy is -1372 meV per atom.

[2]
First-principles (GGA-PBE) data for a geometry-optimized BaLi2AlCu structure, as listed in Alexandria.

The structure belongs to space group P4/mmm (No. 123); the cell edges are 5.128, 5.128 and 4.812 Å and the angles 90.00°, 90.00° and 90.00°. The inequivalent atoms are Ba at (0.000, 0.000, 0.000), Li at (0.000, 0.500, 0.500), Al at (0.500, 0.500, 0.500) and Cu at (0.500, 0.500, 0.000).

Its uncorrected energy is -0.099 hartree per atom. As for the crystal system: tetragonal. The relative energy among the computed polymorphs comes out at 25 kJ/mol of formula units. As for the mass density: 3.172 g/cm3. Its size of the total moment is 0.000 μB per atom. The formation energy is 0.028 eV per atom.

[3]
First-principles (GGA-PBE) data for a geometry-optimized CaSiTe3 structure, as listed in Alexandria.

The structure belongs to space group P2_1/c (No. 14); the cell edges are 7.779, 8.388 and 12.137 Å and the angles 90.00°, 126.72° and 90.00°. The inequivalent atoms are Ca at (0.233, 0.113, 0.254), Si at (0.129, 0.598, 0.066), Te at (0.088, 0.189, 0.917), Te at (0.259, 0.713, 0.934) and Te at (0.433, 0.036, 0.788).

Its uncorrected energy is -0.145 hartree per atom. As for the crystal system: monoclinic. The relative energy among the computed polymorphs comes out at 0 kJ/mol of formula units. As for the mass density: 4.718 g/cm3. Its size of the total moment is 0.000 μB per atom. The uncorrected formation energy is -582 meV per atom.

[4]
First-principles (GGA-PBE) data for a geometry-optimized Hg3Bi structure, as listed in Alexandria.

The structure belongs to space group P6_3/mmc (No. 194); the cell edges are 6.5164, 6.5164 and 5.9396 Å and the angles 90.00°, 90.00° and 120.00°. The inequivalent atoms are Hg at (0.1667, 0.3334, 0.2500) and Bi at (0.3333, 0.6667, 0.7500).

Its uncorrected energy is -0.040 hartree per atom. As for the crystal system: hexagonal. As for the mass density: 12.327 g/cm3. Its size of the total moment is 0.000 μB per atom. The formation energy is 0.119 eV per atom.

[5]
First-principles (GGA-PBE) data for a geometry-optimized Ag6Pd2Pt structure, as listed in Alexandria.

The structure belongs to space group P4/mnc (No. 128); the cell edges are 6.014, 6.014 and 9.597 Å and the angles 90.00°, 90.00° and 90.00°. The inequivalent atoms are Ag at (0.000, 0.000, 0.224), Ag at (0.116, 0.298, 0.000), Pd at (0.000, 0.500, 0.250) and Pt at (0.000, 0.000, 0.500).

Its uncorrected energy is -0.124 hartree per atom. As for the crystal system: tetragonal. The relative energy among the computed polymorphs comes out at 301 kJ/mol of formula units. As for the mass density: 10.096 g/cm3. Its size of the total moment is 0.000 μB per atom. The formation energy is 0.340 eV per atom.

[6]
First-principles (GGA-PBE) data for a geometry-optimized NdSiGeRh structure, as listed in Alexandria.

The structure belongs to space group P4/nmm (No. 129, origin choice 2); the cell edges are 4.175, 4.175 and 9.198 Å and the angles 90.00°, 90.00° and 90.00°. The inequivalent atoms are Nd at (0.250, 0.250, 0.204), Si at (0.250, 0.250, 0.629), Ge at (0.250, 0.250, 0.886) and Rh at (0.250, 0.750, 0.500).

Its uncorrected energy is -0.233 hartree per atom. As for the crystal system: tetragonal. As for the mass density: 7.204 g/cm3. Its size of the total moment is 0.000 μB per atom. The uncorrected formation energy is -813 meV per atom.

[7]
First-principles (GGA-PBE) data for a geometry-optimized Ta2SnBi structure, as listed in Alexandria.

The structure belongs to space group I-42d (No. 122); the cell edges are 4.258, 4.258 and 20.609 Å and the angles 90.00°, 90.00° and 90.00°. The inequivalent atoms are Ta at (0.228, 0.250, 0.125), Sn at (0.000, 0.000, 0.000) and Bi at (0.000, 0.000, 0.500).

Its uncorrected energy is -0.265 hartree per atom. As for the crystal system: tetragonal. The relative energy among the computed polymorphs comes out at 83 kJ/mol of formula units. As for the mass density: 12.258 g/cm3. Its size of the total moment is 0.000 μB per atom. The formation energy is 0.696 eV per atom.

[8]
First-principles (GGA-PBE) data for a geometry-optimized MnSb structure, as listed in Alexandria.

The structure belongs to space group Amm2 (No. 38); the cell edges are 4.063, 8.685 and 6.609 Å and the angles 90.00°, 90.00° and 90.00°. The inequivalent atoms are Mn at (0.000, 0.000, 0.000), Mn at (0.500, 0.203, 0.952), Sb at (0.000, 0.174, 0.663) and Sb at (0.500, 0.000, 0.276).

Its uncorrected energy is -0.239 hartree per atom. As for the crystal system: orthorhombic. As for the mass density: 7.549 g/cm3. Its size of the total moment is 1.389 μB per atom. The uncorrected formation energy is 139 meV per atom.